Here is an optimized crystal structure of CoBP2S from the Alexandria database. Energies are from PBE-GGA.

Structure (extended XYZ):
```
5
Lattice="4.149 0.000 0.000 0.000 4.149 0.000 0.000 0.000 4.943" Properties=species:S:1:pos:R:3 pbc="T T T"
Co 0.000 0.000 0.000
B 2.075 2.075 2.471
P 0.000 2.075 0.000
P 2.075 0.000 0.000
S 0.000 0.000 2.471
```

Results
ΔE_f (raw) = 1268 meV per atom
D(E_F) = 0.780 states/eV/atom
Magnetization = 0.00 μB/atom
Symmetry = P4/mmm
Relative energy among the computed polymorphs = 316 meV/atom
E_tot = -22.39 eV per cell